Entry 1:
# CaPmSmPb, optimized geometry, DFT PBE
data_CaPmSmPb
_chemical_formula_sum 'Ca1 Pm1 Sm1 Pb1'
_cell_length_a 5.6165
_cell_length_b 5.6165
_cell_length_c 5.6165
_cell_angle_alpha 60.00
_cell_angle_beta 60.00
_cell_angle_gamma 60.00
_space_group_name_H-M_alt 'P 1'
_space_group_IT_number 1
loop_
_space_group_symop_operation_xyz
'x,y,z'
loop_
_atom_site_label
_atom_site_fract_x
_atom_site_fract_y
_atom_site_fract_z
_atom_site_occupancy
Pb1 0.2500 0.2500 0.2500 1
Ca1 0.7500 0.7500 0.7500 1
Sm1 0.0000 0.0000 0.0000 1
Pm1 0.5000 0.5000 0.5000 1
# Space group: No. 216
# Energy of formation: -16.1 kJ/mol of atoms
# DOS(E_F): 1.3720 states/eV/atom
# Crystal system: cubic

Entry 2:
# Ca2PmTe4Pb, optimized geometry, DFT PBE
data_Ca2PmTe4Pb
_chemical_formula_sum 'Ca2 Pm1 Te4 Pb1'
_cell_length_a 4.5012
_cell_length_b 7.9123
_cell_length_c 7.8595
_cell_angle_alpha 109.24
_cell_angle_beta 90.00
_cell_angle_gamma 90.00
_space_group_name_H-M_alt 'P 1'
_space_group_IT_number 1
loop_
_space_group_symop_operation_xyz
'x,y,z'
loop_
_atom_site_label
_atom_site_fract_x
_atom_site_fract_y
_atom_site_fract_z
_atom_site_occupancy
Ca1 0.5000 0.0000 0.5000 1
Ca2 0.0000 0.5000 0.5000 1
Pm1 0.5000 0.5000 0.0000 1
Te1 0.5000 0.2555 0.2548 1
Te2 0.5000 0.7445 0.7452 1
Te3 0.0000 0.2512 0.7471 1
Te4 0.0000 0.7488 0.2529 1
Pb1 0.0000 0.0000 0.0000 1
# Space group: No. 10
# Formation energy from raw total energies: -1.22 eV per atom
# DOS(E_F): 0.3890 states/eV/atom
# Crystal system: monoclinic

Entry 3:
# CaPr2Pb, optimized geometry, DFT PBE
data_CaPr2Pb
_chemical_formula_sum 'Ca1 Pr2 Pb1'
_cell_length_a 4.3597
_cell_length_b 4.3597
_cell_length_c 7.0146
_cell_angle_alpha 90.00
_cell_angle_beta 90.00
_cell_angle_gamma 90.00
_space_group_name_H-M_alt 'P 1'
_space_group_IT_number 1
loop_
_space_group_symop_operation_xyz
'x,y,z'
loop_
_atom_site_label
_atom_site_fract_x
_atom_site_fract_y
_atom_site_fract_z
_atom_site_occupancy
Pb1 0.5000 0.5000 0.5000 1
Pr1 0.0000 0.0000 0.7250 1
Pr2 0.0000 0.0000 0.2750 1
Ca1 0.5000 0.5000 0.0000 1
# Space group: No. 123
# Energy of formation: -23.8 kJ/mol of atoms
# DOS(E_F): 1.3722 states/eV/atom
# Crystal system: tetragonal